(1)
Compound: Sm2Si5Ni3
Source: the Alexandria database
Functional: PBEsol
Structure: relaxed

The value obtained for the volume is 15.028 A^3/atom. As for the raw total energy: -6.615 eV per atom. Its formation energy (no corrections) is -0.88 eV per atom. For the size of the total moment, the calculation gives 0.00 μB per atom.

It has space group Ibam (No. 72), with a = 9.521 Å, b = 11.156 Å, c = 5.660 Å, α = 90.00°, β = 90.00° and γ = 90.00°. Symmetry generates all atoms from Sm at (0.237, 0.131, 0.000), Si at (0.000, 0.000, 0.250), Si at (0.000, 0.265, 0.250), Si at (0.150, 0.393, 0.000), Ni at (0.000, 0.500, 0.250) and Ni at (0.112, 0.133, 0.500).


(2)
Compound: Li4AlCl
Source: the Alexandria database
Functional: PBEsol
Structure: relaxed

The value obtained for the volume is 19.192 A^3/atom. As for the raw total energy: -2.342 eV per atom. Its formation energy (no corrections) is -0.01 eV per atom. For the size of the total moment, the calculation gives 0.01 μB per atom.

It has space group F-43m (No. 216), with a = 7.723 Å, b = 7.723 Å, c = 7.723 Å, α = 90.00°, β = 90.00° and γ = 90.00°. Symmetry generates all atoms from Li at (0.123, 0.123, 0.377), Al at (0.250, 0.250, 0.750) and Cl at (0.000, 0.000, 0.000).


(3)
Compound: RbScN2O
Source: the Alexandria database
Functional: PBEsol
Structure: relaxed

The value obtained for the volume is 14.075 A^3/atom. As for the raw total energy: -4.436 eV per atom. Its formation energy (no corrections) is 1.55 eV per atom. For the size of the total moment, the calculation gives 0.00 μB per atom.

It has space group P4/mmm (No. 123), with a = 4.119 Å, b = 4.119 Å, c = 4.148 Å, α = 90.00°, β = 90.00° and γ = 90.00°. Symmetry generates all atoms from Rb at (0.000, 0.000, 0.000), Sc at (0.500, 0.500, 0.500), N at (0.000, 0.500, 0.000) and O at (0.000, 0.000, 0.500).


(4)
Compound: Ti5Sn3Au
Source: the Alexandria database
Functional: PBEsol
Structure: relaxed

The value obtained for the volume is 17.987 A^3/atom. As for the raw total energy: -6.908 eV per atom. For the size of the total moment, the calculation gives 0.00 μB per atom.

It has space group P6_3/mcm (No. 193), with a = 8.2072 Å, b = 8.2072 Å, c = 5.5501 Å, α = 90.00°, β = 90.00° and γ = 120.00°. Symmetry generates all atoms from Ti at (0.0000, 0.2829, 0.2500), Ti at (0.3333, 0.6667, 0.0000), Sn at (0.0000, 0.3806, 0.7500) and Au at (0.0000, 0.0000, 0.0000).


(5)
Compound: CsRbS2N
Source: the Alexandria database
Functional: PBEsol
Structure: relaxed

The value obtained for the volume is 39.049 A^3/atom. As for the raw total energy: -2.948 eV per atom. Its formation energy (no corrections) is 0.90 eV per atom. For the size of the total moment, the calculation gives 1.00 μB per atom.

It has space group P4/mmm (No. 123), with a = 5.975 Å, b = 5.975 Å, c = 5.469 Å, α = 90.00°, β = 90.00° and γ = 90.00°. Symmetry generates all atoms from Cs at (0.000, 0.000, 0.000), Rb at (0.500, 0.500, 0.500), S at (0.000, 0.500, 0.500) and N at (0.500, 0.500, 0.000).


(6)
Compound: YSc2Ni2
Source: the Alexandria database
Functional: PBEsol
Structure: relaxed

The value obtained for the volume is 18.387 A^3/atom. As for the raw total energy: -6.783 eV per atom. For the size of the total moment, the calculation gives 0.00 μB per atom.

It has space group P4/mbm (No. 127), with a = 7.190 Å, b = 7.190 Å, c = 3.557 Å, α = 90.00°, β = 90.00° and γ = 90.00°. Symmetry generates all atoms from Y at (0.000, 0.000, 0.000), Sc at (0.156, 0.344, 0.500) and Ni at (0.126, 0.626, 0.000).


(7)
Compound: KLiCdS2
Source: the Alexandria database
Functional: PBEsol
Structure: relaxed

The value obtained for the volume is 28.520 A^3/atom. As for the raw total energy: -2.669 eV per atom. Its formation energy (no corrections) is -0.06 eV per atom. For the size of the total moment, the calculation gives 0.00 μB per atom.

It has space group P4/mmm (No. 123), with a = 5.159 Å, b = 5.159 Å, c = 5.358 Å, α = 90.00°, β = 90.00° and γ = 90.00°. Symmetry generates all atoms from K at (0.000, 0.000, 0.000), Li at (0.500, 0.500, 0.000), Cd at (0.000, 0.000, 0.500) and S at (0.000, 0.500, 0.500).


(8)
Compound: KW3C
Source: the Alexandria database
Functional: PBEsol
Structure: relaxed

The value obtained for the volume is 17.211 A^3/atom. As for the raw total energy: -5.517 eV per atom. For the size of the total moment, the calculation gives 0.00 μB per atom.

It has space group Pm-3m (No. 221), with a = 4.415 Å, b = 4.415 Å, c = 4.415 Å, α = 90.00°, β = 90.00° and γ = 90.00°. Symmetry generates all atoms from K at (0.000, 0.000, 0.000), W at (0.000, 0.000, 0.500) and C at (0.500, 0.500, 0.500).